Here is crystalline Cs3Co2PbF9 at its relaxed geometry from the Alexandria database. Energies are from PBE with a Hubbard U.

Total energy in eV per atom: -4.656
DOS(E_F) in states/eV/cell: 0.0

Unit cell a=6.3017 b=6.3017 c=7.7861 alpha=90.00 beta=90.00 gamma=120.00
With the nearest neighbours (Å) after each atom.
Fractional coordinates of all 15 atoms:
Pb  0.0000  0.0000  0.5000  6 F 2.47
F  0.3612  0.1806  0.6902  1 Co 2.07
Cs  0.3333  0.6667  0.6758  12 F 3.11-3.30
F  0.6388  0.8194  0.3098  1 Co 2.07
F  0.8194  0.1806  0.6902  1 Co 2.07
F  0.5000  0.5000  0.0000  2 Co 2.17
F  0.5000  0.0000  0.0000  2 Co 2.17
Cs  0.6667  0.3333  0.3242  12 F 3.11-3.30
F  0.8194  0.6388  0.6902  1 Co 2.07
F  0.1806  0.8194  0.3098  1 Co 2.07
Cs  0.0000  0.0000  0.0000  12 F 3.12-3.15
F  0.0000  0.5000  0.0000  2 Co 2.17
Co  0.3333  0.6667  0.1512  6 F 2.07-2.17
Co  0.6667  0.3333  0.8488  6 F 2.07-2.17
F  0.1806  0.3612  0.3098  1 Co 2.07